This record from Alexandria describes an optimized crystal structure of NbFeRh2. The functional is GGA-PBE.

Output
The mass density comes out at 9312 kg/m3. The value obtained for the volume is 15.81 A^3/atom. For the energy of formation from the pure elements, the calculation gives 0.22 eV/atom. As for the symmetry: I-42d, No. 122. As for the total magnetization: 3.99 μB/cell.

abc: 3.820 3.820 9.075
angles: 77.85 77.85 90.00
Sites, in units of the cell vectors:
1 Rh 0.605 0.125 0.250
2 Rh 0.375 0.395 0.750
3 Rh 0.875 0.855 0.750
4 Rh 0.145 0.625 0.250
5 Fe 0.500 0.500 0.000
6 Fe 0.250 0.750 0.500
7 Nb 0.000 0.000 0.000
8 Nb 0.750 0.250 0.500